CaAg2N: optimized geometry, GGA-PBE. Values from VASP.

Structure (Quantum ESPRESSO input):
```
&SYSTEM
  ibrav = 0, nat = 8, ntyp = 3
/
ATOMIC_SPECIES
Ca 40.08 Ca.upf
Ag 107.87 Ag.upf
N 14.01 N.upf
CELL_PARAMETERS angstrom
-2.707 2.707 6.400
2.707 -2.707 6.400
2.707 2.707 -6.400
ATOMIC_POSITIONS crystal
Ca 0.000 0.000 0.000
Ca 0.750 0.250 0.500
Ag 0.344 0.625 0.219
Ag 0.375 0.594 0.719
Ag 0.406 0.125 0.781
Ag 0.875 0.656 0.281
N 0.250 0.750 0.500
N 0.500 0.500 0.000
```

Calculated values
DOS at the Fermi energy: 0.779 states/eV per atom
Space-group type: I-42d (122)
Magnetization: 0.00 Bohr magnetons per cell
ΔE_f (raw): 0.528 eV per atom
E: -3.48 eV per atom



TaHgPt2: optimized geometry, GGA-PBE. Values from VASP.

Structure (Quantum ESPRESSO input):
```
&SYSTEM
  ibrav = 0, nat = 4, ntyp = 3
/
ATOMIC_SPECIES
Ta 180.95 Ta.upf
Hg 200.59 Hg.upf
Pt 195.08 Pt.upf
CELL_PARAMETERS angstrom
1.452 0.838 9.686
-1.452 0.838 9.686
0.000 -1.676 9.686
ATOMIC_POSITIONS crystal
Ta 0.000 0.000 0.000
Hg 0.500 0.500 0.500
Pt 0.257 0.257 0.257
Pt 0.743 0.743 0.743
```

Calculated values
DOS at the Fermi energy: 0.805 states/eV per atom
Formation energy from the elements: -0.240 eV/atom
Space-group type: R-3m (166)
Magnetization: 0.00 Bohr magnetons per cell
E: -6.30 eV per atom



ReBi3I: optimized geometry, GGA-PBE. Values from VASP.

Structure (Quantum ESPRESSO input):
```
&SYSTEM
  ibrav = 0, nat = 5, ntyp = 3
/
ATOMIC_SPECIES
Re 186.21 Re.upf
Bi 208.98 Bi.upf
I 126.90 I.upf
CELL_PARAMETERS angstrom
5.413 0.000 0.000
0.000 5.413 0.000
0.000 0.000 5.413
ATOMIC_POSITIONS crystal
Re 0.000 0.000 0.000
Bi 0.000 0.000 0.500
Bi 0.000 0.500 0.000
Bi 0.500 0.000 0.000
I 0.500 0.500 0.500
```

Calculated values
DOS at the Fermi energy: 1.363 states/eV per atom
Space-group type: Pm-3m (221)
Magnetization: 0.00 Bohr magnetons per cell
ΔE_f (raw): 0.598 eV per atom
E: -4.53 eV per atom



Mn2CoNi2: optimized geometry, GGA-PBE. Values from VASP.

Structure (Quantum ESPRESSO input):
```
&SYSTEM
  ibrav = 0, nat = 10, ntyp = 3
/
ATOMIC_SPECIES
Mn 54.94 Mn.upf
Co 58.93 Co.upf
Ni 58.69 Ni.upf
CELL_PARAMETERS angstrom
6.698 0.000 0.000
0.000 6.698 0.000
0.000 0.000 2.718
ATOMIC_POSITIONS crystal
Mn 0.168 0.332 0.000
Mn 0.332 0.832 0.000
Mn 0.668 0.168 0.000
Mn 0.832 0.668 0.000
Co 0.000 0.000 0.500
Co 0.500 0.500 0.500
Ni 0.131 0.631 0.500
Ni 0.369 0.131 0.500
Ni 0.631 0.869 0.500
Ni 0.869 0.369 0.500
```

Calculated values
DOS at the Fermi energy: 1.783 states/eV per atom
Formation energy from the elements: 0.241 eV/atom
Space-group type: P4/mbm (127)
Magnetization: 10.81 Bohr magnetons per cell
E: -7.16 eV per atom